Here is an optimized crystal structure of Ni2As2Br from Alexandria. Energies are from PBE.

```
Ni2As2Br
1.0
-1.639 0.159 3.162
0.551 -3.492 0.461
5.914 -0.215 5.085
As Ni Br
2 2 1
Direct
0.644 0.644 0.712
0.356 0.356 0.288
0.750 0.250 0.500
0.250 0.750 0.500
0.000 0.000 0.000
```

Computed properties:
* D(E_F): 0.442 states/eV/atom
* calculated volume: 93.8 Å³/cell
* raw total energy: -23.1 eV for the cell shown
* crystal system: tetragonal